Computed, not measured: La6Tl2Rh after structural relaxation at the PBE level of DFT.

a b c (Å): 9.120 9.120 3.945
angles (deg): 90.00 90.00 120.00
Atoms (fractional coordinates):
La  0.000  0.238  0.000
La  0.000  0.599  0.500
La  0.238  0.000  0.000
La  0.401  0.401  0.500
La  0.599  0.000  0.500
La  0.762  0.762  0.000
Tl  0.333  0.667  0.000
Tl  0.667  0.333  0.000
Rh  0.000  0.000  0.500

Results
SG = P-62m (189)

Computed, not measured: LaTl2Rh2 after structural relaxation at the PBE level of DFT.

a b c (Å): 8.632 5.100 5.284
angles (deg): 90.00 105.47 90.00
Atoms (fractional coordinates):
La  0.000  0.000  0.000
La  0.500  0.500  0.000
Tl  0.227  0.500  0.331
Tl  0.273  0.000  0.669
Tl  0.727  0.000  0.331
Tl  0.773  0.500  0.669
Rh  0.112  0.500  0.785
Rh  0.388  0.000  0.215
Rh  0.612  0.000  0.785
Rh  0.888  0.500  0.215

Results
excess energy over the best structure of this formula in the dataset = 0 meV per atom
SG = C2/m (12)

Computed, not measured: La3Tl4Rh4 after structural relaxation at the PBE level of DFT.

a b c (Å): 9.110 9.110 9.110
angles (deg): 154.89 125.48 60.93
Atoms (fractional coordinates):
La  0.000  0.000  0.000
La  0.386  0.886  0.500
La  0.614  0.114  0.500
Tl  0.023  0.330  0.692
Tl  0.362  0.670  0.692
Tl  0.638  0.330  0.308
Tl  0.977  0.670  0.308
Rh  0.243  0.243  0.000
Rh  0.283  0.500  0.783
Rh  0.717  0.500  0.217
Rh  0.757  0.757  0.000

Results
SG = Immm (71)

Computed, not measured: LaTlRh2 after structural relaxation at the PBE level of DFT.

a b c (Å): 6.974 6.974 6.974
angles (deg): 90.00 90.00 90.00
Atoms (fractional coordinates):
La  0.000  0.000  0.000
La  0.000  0.500  0.500
La  0.500  0.000  0.500
La  0.500  0.500  0.000
Tl  0.250  0.250  0.250
Tl  0.250  0.750  0.750
Tl  0.750  0.250  0.750
Tl  0.750  0.750  0.250
Rh  0.000  0.000  0.500
Rh  0.000  0.500  0.000
Rh  0.250  0.250  0.750
Rh  0.250  0.750  0.250
Rh  0.500  0.000  0.000
Rh  0.500  0.500  0.500
Rh  0.750  0.250  0.250
Rh  0.750  0.750  0.750

Results
SG = F-43m (216)

Calculated values (Mg/m³) of calculated density for the records, taken in order: 7.9, 11.2, 10.5, 10.8.
Calculated values (eV/atom) of energy of formation from the pure elements for the records, taken in order: -0.41, -0.27, -0.44, -0.02.